Entry 1:
Computed, not measured: a PBEsol-optimized structure of SbRu2Rh at the meta-GGA SCAN level of DFT.

## Properties
Its space group is P4/mmm.

a = 3.929 Å, b = 3.929 Å, c = 3.845 Å
α = 90.00°, β = 90.00°, γ = 90.00°
Positions (direct):
Sb1 0.000 0.000 0.000
Ru1 0.000 0.500 0.500
Ru2 0.500 0.000 0.500
Rh1 0.500 0.500 0.000


Entry 2:
Computed, not measured: a PBEsol-optimized structure of SbRu2Rh at the meta-GGA SCAN level of DFT.

## Properties
Its space group is Pmm2.

a = 2.875 Å, b = 3.760 Å, c = 5.573 Å
α = 90.00°, β = 90.00°, γ = 90.00°
Positions (direct):
Sb1 0.000 0.000 0.000
Ru1 0.000 0.000 0.510
Ru2 0.500 0.500 0.714
Rh1 0.500 0.500 0.245


Entry 3:
Computed, not measured: a PBEsol-optimized structure of SbRu2Rh at the meta-GGA SCAN level of DFT.

## Properties
Its space group is C2/m.

a = 4.687 Å, b = 4.687 Å, c = 4.831 Å
α = 103.05°, β = 103.05°, γ = 35.57°
Positions (direct):
Sb1 0.000 0.000 0.000
Ru1 0.255 0.255 0.729
Ru2 0.745 0.745 0.271
Rh1 0.500 0.500 0.500


Uncorrected formation energy list, top to bottom, in eV/f.u.: 0.55; 0.60; 0.51
M_tot list, top to bottom, in μB/f.u.: 0.00; 0.00; 0.00